No. 1
First-principles (PBEsol) data for an optimized crystal structure of ZnTc4P, as listed in Alexandria.

Cell lengths 5.037, 5.037, 5.037 Å; angles 60.00, 60.00, 60.00 degrees
Fractional positions:
Zn  0.000  0.000  0.000
Tc  0.127  0.624  0.624
Tc  0.624  0.127  0.624
Tc  0.624  0.624  0.127
Tc  0.624  0.624  0.624
P  0.250  0.250  0.250

**ΔE_f**: 57.6 kJ per mole of atoms

No. 2
First-principles (PBEsol) data for an optimized crystal structure of InINO2, as listed in Alexandria.

Cell lengths 4.110, 4.110, 4.096 Å; angles 90.00, 90.00, 90.00 degrees
Fractional positions:
In  0.000  0.000  0.000
I  0.500  0.500  0.000
N  0.500  0.500  0.500
O  0.000  0.500  0.500
O  0.500  0.000  0.500

**Uncorrected formation energy**: 0.929 eV per atom

No. 3
First-principles (PBEsol) data for an optimized crystal structure of LaIrW2, as listed in Alexandria.

Cell lengths 3.040, 5.124, 9.527 Å; angles 90.00, 90.00, 90.00 degrees
Fractional positions:
La  0.000  0.000  0.000
La  0.500  0.500  0.500
Ir  0.000  0.500  0.225
Ir  0.500  0.000  0.725
W  0.000  0.000  0.495
W  0.000  0.500  0.779
W  0.500  0.000  0.279
W  0.500  0.500  0.995

**ΔE_f**: 54.6 kJ per mole of atoms
**ΔE to the lowest computed polymorph**: 190 meV per atom

The records above yield M_tot values of 0.00; 0.00; 0.00 μB per cell, respectively.